# Ag2SbAu8 (PBE, optimized geometry)
# Size of the total moment ... 0.000 μB per atom
# SG ... C2/m
# Polymorph energy (0 for the lowest one) ... 109 meV per atom
# Raw formation energy ... 1.25 eV/f.u.
data_Ag2SbAu8
_chemical_formula_sum 'Ag2 Sb1 Au8'
_cell_length_a 7.2733
_cell_length_b 7.2733
_cell_length_c 5.0143
_cell_angle_alpha 101.64
_cell_angle_beta 101.64
_cell_angle_gamma 62.13
_symmetry_space_group_name_H-M 'P 1'
_symmetry_Int_Tables_number 1
loop_
_symmetry_equiv_pos_as_xyz
'x,y,z'
loop_
_atom_site_label
_atom_site_type_symbol
_atom_site_fract_x
_atom_site_fract_y
_atom_site_fract_z
_atom_site_occupancy
Ag1 Ag 0.1268 0.1268 0.0248 1
Ag2 Ag 0.8732 0.8732 0.9752 1
Sb1 Sb 0.0000 0.0000 0.5000 1
Au1 Au 0.2327 0.2327 0.5806 1
Au2 Au 0.2457 0.6196 0.7145 1
Au3 Au 0.3561 0.3561 0.1591 1
Au4 Au 0.3804 0.7543 0.2855 1
Au5 Au 0.6196 0.2457 0.7145 1
Au6 Au 0.6439 0.6439 0.8409 1
Au7 Au 0.7543 0.3804 0.2855 1
Au8 Au 0.7673 0.7673 0.4194 1